(1)
TeP2O8 after structural relaxation. Source: Alexandria, functional PBE.

Structure (extended XYZ):
```
11
Lattice="5.401 -3.320 0.000 5.401 3.320 0.000 -0.512 0.000 4.640" Properties=species:S:1:pos:R:3 pbc="T T T"
Te 0.000 0.000 0.000
P 1.579 0.000 2.966
P 8.711 0.000 1.674
O 4.234 2.115 1.043
O 1.394 0.000 1.392
O 6.056 2.115 3.597
O 3.009 0.000 3.282
O 7.280 0.000 1.358
O 4.234 -2.115 1.043
O 8.896 0.000 3.249
O 6.056 -2.115 3.597
```

Density of states at the Fermi level = 0.00 states/eV/cell
Calculated total energy = -69.418 eV for the cell shown
ρ = 3.17 Mg/m³
Crystal system = monoclinic

=====

(2)
TbLuCoRu after structural relaxation. Source: Alexandria, functional PBE.

Structure (extended XYZ):
```
4
Lattice="0.000 3.341 3.341 3.341 0.000 3.341 3.341 3.341 0.000" Properties=species:S:1:pos:R:3 pbc="T T T"
Tb 0.000 0.000 0.000
Lu 3.341 3.341 3.341
Co 5.012 5.012 5.012
Ru 1.671 1.671 1.671
```

Formation enthalpy at 0 K = -0.292 eV/atom
Density of states at the Fermi level = 3.46 states/eV/cell
ρ = 10.99 Mg/m³
Crystal system = cubic

=====

(3)
NpCdInI6 after structural relaxation. Source: Alexandria, functional PBE.

Structure (extended XYZ):
```
18
Lattice="7.916 0.000 0.000 -3.958 6.856 0.000 0.000 0.000 15.115" Properties=species:S:1:pos:R:3 pbc="T T T"
Np 0.000 4.571 3.779
Np 3.958 2.285 11.336
Cd 0.000 4.571 11.336
Cd 3.958 2.285 3.779
In 0.000 0.000 0.000
In 0.000 0.000 7.557
I -1.391 2.507 9.581
I -2.483 4.397 13.091
I 1.391 2.507 13.091
I -1.091 6.807 9.581
I 2.867 0.049 2.024
I 1.476 2.459 5.534
I 2.483 4.397 9.581
I 1.091 6.807 13.091
I 5.049 0.049 5.534
I 2.567 4.349 2.024
I 6.441 2.459 2.024
I 5.350 4.349 5.534
```

Density of states at the Fermi level = 16.48 states/eV/cell
Calculated total energy = -63.489 eV for the cell shown
ρ = 4.96 Mg/m³
Crystal system = trigonal

=====

(4)
In2Pd2Se after structural relaxation. Source: Alexandria, functional PBE.

Structure (extended XYZ):
```
10
Lattice="7.315 0.000 0.000 0.000 7.315 0.000 0.000 0.000 3.673" Properties=species:S:1:pos:R:3 pbc="T T T"
In 1.161 2.496 0.000
In 2.496 6.154 0.000
In 4.819 1.161 0.000
In 6.154 4.819 0.000
Pd 1.041 4.698 1.836
Pd 2.617 1.041 1.836
Pd 4.698 6.274 1.836
Pd 6.274 2.617 1.836
Se 0.000 0.000 1.836
Se 3.658 3.658 1.836
```

Density of states at the Fermi level = 3.06 states/eV/cell
Polymorph energy (0 for the lowest one) = 0.000 eV per atom
ρ = 8.81 Mg/m³
Crystal system = tetragonal

=====

(5)
Tb2Y2Tl3 after structural relaxation. Source: Alexandria, functional PBE.

Structure (extended XYZ):
```
7
Lattice="6.521 -1.897 0.000 6.521 1.897 0.000 -1.507 0.000 8.165" Properties=species:S:1:pos:R:3 pbc="T T T"
Tb 0.563 0.000 1.768
Tb 10.972 0.000 6.397
Y 1.642 0.000 5.305
Y 9.893 0.000 2.860
Tl 4.522 0.000 0.397
Tl 5.768 0.000 4.082
Tl 7.014 0.000 7.767
```

Formation enthalpy at 0 K = -0.266 eV/atom
Density of states at the Fermi level = 7.38 states/eV/cell
Polymorph energy (0 for the lowest one) = 0.000 eV per atom
ρ = 9.12 Mg/m³
Crystal system = monoclinic

=====

(6)
VBrCl3 after structural relaxation. Source: Alexandria, functional PBE.

Structure (extended XYZ):
```
10
Lattice="5.921 0.000 0.000 0.000 8.526 0.000 -0.721 0.000 7.827" Properties=species:S:1:pos:R:3 pbc="T T T"
V 1.153 2.132 1.992
V 4.046 6.395 5.834
Br 2.409 2.132 3.914
Br 2.790 6.395 3.913
Cl -0.080 0.376 1.965
Cl -0.080 3.887 1.965
Cl 2.462 2.132 0.291
Cl 2.737 6.395 7.535
Cl 5.279 4.639 5.862
Cl 5.279 8.150 5.862
```

Density of states at the Fermi level = 12.52 states/eV/cell
Polymorph energy (0 for the lowest one) = 0.000 eV per atom
ρ = 1.99 Mg/m³
Crystal system = monoclinic

=====

(7)
La6HIr2 after structural relaxation. Source: Alexandria, functional PBE.

Structure (extended XYZ):
```
18
Lattice="6.680 0.000 0.000 0.000 7.386 0.000 -6.461 0.000 10.206" Properties=species:S:1:pos:R:3 pbc="T T T"
La -0.944 0.293 2.605
La -4.174 3.400 7.708
La 1.134 4.900 0.705
La -2.096 6.179 5.809
La 2.186 1.261 0.682
La -1.044 2.432 5.785
La 1.263 4.954 4.422
La -1.968 6.125 9.525
La 2.315 1.207 4.398
La -0.916 2.486 9.501
La 4.393 3.986 2.498
La 1.162 7.093 7.601
H 0.109 0.000 5.103
H 3.340 3.693 0.000
Ir -2.738 0.916 7.784
Ir 0.493 2.777 2.681
Ir -0.274 4.609 7.526
Ir 2.956 6.470 2.423
```

Density of states at the Fermi level = 18.09 states/eV/cell
Calculated total energy = -110.664 eV for the cell shown
ρ = 8.04 Mg/m³
Crystal system = monoclinic

=====

(8)
MnSb2AsI after structural relaxation. Source: Alexandria, functional PBE.

Structure (extended XYZ):
```
5
Lattice="4.873 0.000 0.000 0.000 4.873 0.000 0.000 0.000 5.539" Properties=species:S:1:pos:R:3 pbc="T T T"
Mn 0.000 0.000 0.000
Sb 0.000 2.436 0.000
Sb 2.436 0.000 0.000
As 2.436 2.436 2.770
I 0.000 0.000 2.770
```

Density of states at the Fermi level = 4.56 states/eV/cell
Polymorph energy (0 for the lowest one) = 0.076 eV per atom
ρ = 6.32 Mg/m³
Crystal system = tetragonal

=====

(9)
P3Ir2Au after structural relaxation. Source: Alexandria, functional PBE.

Structure (extended XYZ):
```
6
Lattice="3.787 0.000 0.000 -1.448 4.602 0.000 -0.250 -0.538 5.963" Properties=species:S:1:pos:R:3 pbc="T T T"
P 0.000 0.000 0.000
P -0.108 2.079 0.623
P -0.111 3.922 2.841
Ir 0.198 3.199 4.991
Ir 1.763 3.092 1.669
Au 2.092 1.362 3.818
```

Formation enthalpy at 0 K = -0.264 eV/atom
Density of states at the Fermi level = 1.52 states/eV/cell
Polymorph energy (0 for the lowest one) = 0.000 eV per atom
ρ = 10.78 Mg/m³
Crystal system = triclinic

=====

(10)
MgSeIN2 after structural relaxation. Source: Alexandria, functional PBE.

Structure (extended XYZ):
```
5
Lattice="3.933 0.000 0.000 0.000 3.933 0.000 0.000 0.000 7.040" Properties=species:S:1:pos:R:3 pbc="T T T"
Mg 0.000 0.000 0.000
Se 1.967 1.967 3.520
I 1.967 1.967 0.000
N 0.000 1.967 3.520
N 1.967 0.000 3.520
```

Density of states at the Fermi level = 3.40 states/eV/cell
Polymorph energy (0 for the lowest one) = 0.050 eV per atom
ρ = 3.94 Mg/m³
Crystal system = tetragonal

=====

(11)
HfSiSb2Te after structural relaxation. Source: Alexandria, functional PBE.

Structure (extended XYZ):
```
5
Lattice="5.123 0.000 0.000 0.000 5.123 0.000 0.000 0.000 5.131" Properties=species:S:1:pos:R:3 pbc="T T T"
Hf 0.000 0.000 0.000
Si 2.562 2.562 2.566
Sb 0.000 2.562 2.566
Sb 2.562 0.000 2.566
Te 2.562 2.562 0.000
```

Density of states at the Fermi level = 2.53 states/eV/cell
Polymorph energy (0 for the lowest one) = 0.037 eV per atom
ρ = 7.12 Mg/m³
Crystal system = tetragonal

=====

(12)
DyHoRuPb after structural relaxation. Source: Alexandria, functional PBE.

Structure (extended XYZ):
```
4
Lattice="0.000 3.611 3.611 3.611 0.000 3.611 3.611 3.611 0.000" Properties=species:S:1:pos:R:3 pbc="T T T"
Dy 0.000 0.000 0.000
Ho 3.611 3.611 3.611
Ru 1.806 1.806 1.806
Pb 5.417 5.417 5.417
```

Formation enthalpy at 0 K = -0.273 eV/atom
Density of states at the Fermi level = 2.32 states/eV/cell
ρ = 11.21 Mg/m³
Crystal system = cubic

=====

Question: Which value of ρ does entry 4 give?
Answer: 8.81 Mg/m³

=====

Question: The highest ρ belongs to which entry?
Answer: DyHoRuPb

=====

Question: The highest density of states at the Fermi level belongs to which entry?
Answer: La6HIr2

=====

Question: What is the density of states at the Fermi level in the tenth record?
Answer: 3.40 states/eV/cell